<w>
This record from Alexandria via LeMat-Bulk describes a relaxed structure of SrZrS2. The functional is GGA-PBE.

Summary:
D(E_F) in states/eV/cell: 8.46

```
SrZrS2
1.0
3.794 0.000 0.000
-1.897 3.286 0.000
0.000 0.000 26.384
Sr Zr S
3 3 6
direct
0.000 0.000 0.000
0.333 0.667 0.667
0.667 0.333 0.333
0.000 0.000 0.500
0.333 0.667 0.167
0.667 0.333 0.833
0.000 0.000 0.111
0.000 0.000 0.889
0.333 0.667 0.556
0.333 0.667 0.778
0.667 0.333 0.222
0.667 0.333 0.444
```


<x>
This record from Alexandria via LeMat-Bulk describes a relaxed structure of SrZrS2. The functional is GGA-PBE.

Summary:
D(E_F) in states/eV/cell: 2.74

```
SrZrS2
1.0
6.911 0.000 0.000
0.000 6.911 0.000
0.000 0.000 6.911
Sr Zr S
4 4 8
direct
0.000 0.000 0.000
0.000 0.500 0.500
0.500 0.000 0.500
0.500 0.500 0.000
0.000 0.000 0.500
0.000 0.500 0.000
0.500 0.000 0.000
0.500 0.500 0.500
0.250 0.250 0.250
0.250 0.250 0.750
0.250 0.750 0.250
0.250 0.750 0.750
0.750 0.250 0.250
0.750 0.250 0.750
0.750 0.750 0.250
0.750 0.750 0.750
```


<y>
This record from Alexandria via LeMat-Bulk describes a relaxed structure of SrZrS2. The functional is GGA-PBE.

Summary:
D(E_F) in states/eV/cell: 12.86

```
SrZrS2
1.0
6.286 0.000 0.000
0.000 6.286 0.000
0.000 0.000 11.962
Sr Zr S
4 4 8
direct
0.000 0.000 0.000
0.000 0.500 0.250
0.500 0.000 0.750
0.500 0.500 0.500
0.000 0.000 0.500
0.000 0.500 0.750
0.500 0.000 0.250
0.500 0.500 0.000
0.201 0.250 0.625
0.250 0.701 0.875
0.250 0.799 0.375
0.299 0.250 0.125
0.701 0.750 0.125
0.750 0.201 0.375
0.750 0.299 0.875
0.799 0.750 0.625
```


In meV/atom, relative to the most stable structure: <w> 30; <x> 60; <y> 0.


<w>
This record from Alexandria via LeMat-Bulk describes a relaxed structure of TaTc3S. The functional is GGA-PBE.

Summary:
D(E_F) in states/eV/cell: 7.48

```
TaTc3S
1.0
4.780 0.000 0.000
0.000 4.780 0.000
0.000 0.000 4.780
Ta Tc S
1 3 1
direct
0.000 0.000 0.000
0.000 0.000 0.500
0.000 0.500 0.000
0.500 0.000 0.000
0.500 0.500 0.500
```


<x>
This record from Alexandria via LeMat-Bulk describes a relaxed structure of TaTc3S. The functional is GGA-PBE.

Summary:
D(E_F) in states/eV/cell: 4.66

```
TaTc3S
1.0
4.323 0.000 0.000
0.000 4.323 0.000
0.000 0.000 4.323
Ta Tc S
1 3 1
direct
0.000 0.000 0.000
0.000 0.500 0.500
0.500 0.000 0.500
0.500 0.500 0.000
0.500 0.500 0.500
```


In meV/atom, relative to the most stable structure: <w> 1755; <x> 0.


<w>
This record from Alexandria via LeMat-Bulk describes a relaxed structure of Ta3TcS. The functional is GGA-PBE.

Summary:
D(E_F) in states/eV/cell: 5.72

```
Ta3TcS
1.0
4.499 0.000 0.000
0.000 4.499 0.000
0.000 0.000 4.499
Ta Tc S
3 1 1
direct
0.000 0.000 0.500
0.000 0.500 0.000
0.500 0.000 0.000
0.500 0.500 0.500
0.000 0.000 0.000
```


<x>
This record from Alexandria via LeMat-Bulk describes a relaxed structure of Ta3TcS. The functional is GGA-PBE.

Summary:
D(E_F) in states/eV/cell: 4.94

```
Ta3TcS
1.0
4.813 0.000 0.000
0.000 4.813 0.000
0.000 0.000 4.813
Ta Tc S
3 1 1
direct
0.000 0.000 0.500
0.000 0.500 0.000
0.500 0.000 0.000
0.000 0.000 0.000
0.500 0.500 0.500
```


In meV/atom, relative to the most stable structure: <w> 0; <x> 859.


<w>
This record from Alexandria via LeMat-Bulk describes a relaxed structure of TaTeS. The functional is GGA-PBE.

Summary:
D(E_F) in states/eV/cell: 2.06

```
TaTeS
1.0
4.709 0.000 0.000
0.000 5.441 0.000
-0.267 0.000 5.807
Ta Te S
2 2 2
direct
0.061 0.250 0.175
0.939 0.750 0.825
0.021 0.750 0.307
0.979 0.250 0.693
0.456 0.750 0.806
0.544 0.250 0.194
```


<x>
This record from Alexandria via LeMat-Bulk describes a relaxed structure of TaTeS. The functional is GGA-PBE.

Summary:
D(E_F) in states/eV/cell: 2.18

```
TaTeS
1.0
3.531 0.000 0.000
-1.765 3.058 0.000
0.000 0.000 6.954
Ta Te S
1 1 1
direct
0.000 0.000 0.000
0.667 0.333 0.280
0.333 0.667 0.796
```


In meV/atom, relative to the most stable structure: <w> 371; <x> 0.


<w>
This record from Alexandria via LeMat-Bulk describes a relaxed structure of TaTi2S6. The functional is GGA-PBE.

Summary:
D(E_F) in states/eV/cell: 3.11

```
TaTi2S6
1.0
8.219 -1.700 0.000
8.219 1.700 0.000
-3.056 0.000 7.176
Ta Ti S
1 2 6
direct
0.000 0.000 0.000
0.330 0.330 0.663
0.670 0.670 0.337
0.162 0.162 0.104
0.172 0.172 0.561
0.494 0.494 0.766
0.506 0.506 0.234
0.828 0.828 0.439
0.838 0.838 0.896
```


<x>
This record from Alexandria via LeMat-Bulk describes a relaxed structure of TaTi2S6. The functional is GGA-PBE.

Summary:
D(E_F) in states/eV/cell: 3.59

```
TaTi2S6
1.0
3.341 0.000 0.000
-1.670 2.893 0.000
0.000 0.000 20.622
Ta Ti S
1 2 6
direct
0.000 0.000 0.000
0.333 0.667 0.327
0.333 0.667 0.673
0.000 0.000 0.253
0.000 0.000 0.400
0.000 0.000 0.600
0.000 0.000 0.747
0.333 0.667 0.076
0.333 0.667 0.924
```


In meV/atom, relative to the most stable structure: <w> 0; <x> 102.


<w>
This record from Alexandria via LeMat-Bulk describes a relaxed structure of Ta3TiS. The functional is GGA-PBE.

Summary:
D(E_F) in states/eV/cell: 4.44

```
Ta3TiS
1.0
4.724 0.000 0.000
0.000 4.724 0.000
0.000 0.000 4.724
Ta Ti S
3 1 1
direct
0.000 0.000 0.500
0.000 0.500 0.000
0.500 0.000 0.000
0.000 0.000 0.000
0.500 0.500 0.500
```


<x>
This record from Alexandria via LeMat-Bulk describes a relaxed structure of Ta3TiS. The functional is GGA-PBE.

Summary:
D(E_F) in states/eV/cell: 5.11

```
Ta3TiS
1.0
4.554 0.000 0.000
0.000 4.554 0.000
0.000 0.000 4.554
Ta Ti S
3 1 1
direct
0.000 0.000 0.500
0.000 0.500 0.000
0.500 0.000 0.000
0.500 0.500 0.500
0.000 0.000 0.000
```


In meV/atom, relative to the most stable structure: <w> 1387; <x> 0.